A:
Compound: Al2CrW
Source: the Alexandria database
Functional: GGA-PBEsol
Structure: relaxed

## Properties
- Total moment: 1.5 μB/f.u.
- N(E_F): 4.0 states/eV/f.u.
- Crystal system: orthorhombic

The structure in CIF format:
```
data_Al2CrW
_chemical_formula_sum 'Al2 Cr1 W1'
_symmetry_space_group_name_H-M 'P m m m'
_symmetry_Int_Tables_number 47
_cell_length_a 2.717
_cell_length_b 3.961
_cell_length_c 5.289
_cell_angle_alpha 90.00
_cell_angle_beta 90.00
_cell_angle_gamma 90.00
loop_
_symmetry_equiv_pos_as_xyz
'x,y,z'
'-x,-y,-z'
'-x,-y,z'
'x,y,-z'
'x,-y,-z'
'-x,y,z'
'-x,y,-z'
'x,-y,z'
loop_
_atom_site_label
_atom_site_type_symbol
_atom_site_fract_x
_atom_site_fract_y
_atom_site_fract_z
Al1 Al 0.000 0.000 0.244
Cr1 Cr 0.500 0.500 0.000
W1 W 0.500 0.500 0.500
```



B:
Compound: Al2CrW
Source: the Alexandria database
Functional: GGA-PBEsol
Structure: relaxed

## Properties
- Total moment: 0.0 μB/f.u.
- N(E_F): 2.5 states/eV/f.u.
- Crystal system: tetragonal

The structure in CIF format:
```
data_Al2CrW
_chemical_formula_sum 'Al2 Cr1 W1'
_symmetry_space_group_name_H-M 'P 4 m m'
_symmetry_Int_Tables_number 99
_cell_length_a 3.103
_cell_length_b 3.103
_cell_length_c 5.819
_cell_angle_alpha 90.00
_cell_angle_beta 90.00
_cell_angle_gamma 90.00
loop_
_symmetry_equiv_pos_as_xyz
'x,y,z'
'-y,x,z'
'-x,-y,z'
'y,-x,z'
'-x,y,z'
'y,x,z'
'x,-y,z'
'-y,-x,z'
loop_
_atom_site_label
_atom_site_type_symbol
_atom_site_fract_x
_atom_site_fract_y
_atom_site_fract_z
Al1 Al 0.000 0.000 0.000
Al2 Al 0.500 0.500 0.268
Cr1 Cr 0.000 0.000 0.512
W1 W 0.500 0.500 0.734
```



Here are the energies relative to the best structure, in meV per atom: A 192; B 0.



A:
Compound: AlCrW
Source: the Alexandria database
Functional: GGA-PBEsol
Structure: relaxed

## Properties
- Total moment: 0.0 μB/f.u.
- N(E_F): 2.0 states/eV/f.u.
- Crystal system: trigonal

The structure in CIF format:
```
data_AlCrW
_chemical_formula_sum 'Al1 Cr1 W1'
_symmetry_space_group_name_H-M 'P 3 m 1'
_symmetry_Int_Tables_number 156
_cell_length_a 4.2400
_cell_length_b 4.2400
_cell_length_c 2.6469
_cell_angle_alpha 90.00
_cell_angle_beta 90.00
_cell_angle_gamma 120.00
loop_
_symmetry_equiv_pos_as_xyz
'x,y,z'
'-y,x-y,z'
'-x+y,-x,z'
'-y,-x,z'
'-x+y,y,z'
'x,x-y,z'
loop_
_atom_site_label
_atom_site_type_symbol
_atom_site_fract_x
_atom_site_fract_y
_atom_site_fract_z
Al1 Al 0.0000 0.0000 0.0000
Cr1 Cr 0.3333 0.6667 0.6704
W1 W 0.6667 0.3333 0.4184
```



B:
Compound: AlCrW
Source: the Alexandria database
Functional: GGA-PBEsol
Structure: relaxed

## Properties
- Total moment: 0.0 μB/f.u.
- N(E_F): 2.8 states/eV/f.u.
- Crystal system: tetragonal

The structure in CIF format:
```
data_AlCrW
_chemical_formula_sum 'Al2 Cr2 W2'
_symmetry_space_group_name_H-M 'I 4 m m'
_symmetry_Int_Tables_number 107
_symmetry_space_group_name_Hall 'I 4 -2'
_cell_length_a 3.082
_cell_length_b 3.082
_cell_length_c 8.745
_cell_angle_alpha 90.00
_cell_angle_beta 90.00
_cell_angle_gamma 90.00
loop_
_atom_site_label
_atom_site_type_symbol
_atom_site_fract_x
_atom_site_fract_y
_atom_site_fract_z
Al1 Al 0.000 0.000 0.000
Cr1 Cr 0.000 0.000 0.672
W1 W 0.000 0.000 0.313
```



Here are the energies relative to the best structure, in meV per atom: A 6; B 0.